1.
KPS2Cl | the Alexandria database | PBE-GGA | optimized geometry; Fermi-level density of states = 1.12 states/eV/f.u.; total energy = -3.74 eV per atom; E_form (uncorrected) = -0.422 eV per atom; relative energy among the computed polymorphs = 0 meV per atom; calculated volume = 22.457 Å³/atom
1.0
4.5376 0.0000 0.0000
0.0000 4.5376 0.0000
0.0000 0.0000 5.4534
K P S Cl
1 1 2 1
Direct
0.0000 0.0000 0.0000
0.5000 0.5000 0.5000
0.0000 0.5000 0.5000
0.5000 0.0000 0.5000
0.5000 0.5000 0.0000



2.
MgSiAg2Ru | the Alexandria database | PBE-GGA | optimized geometry; Fermi-level density of states = 2.80 states/eV/f.u.; total energy = -3.77 eV per atom; E_form (uncorrected) = 0.632 eV per atom; calculated volume = 23.189 Å³/atom
1.0
5.1290 0.0000 0.0000
0.0000 5.1290 0.0000
0.0000 0.0000 4.4075
Mg Si Ag Ru
1 1 2 1
Direct
0.0000 0.0000 0.0000
0.5000 0.5000 0.0000
0.0000 0.5000 0.5000
0.5000 0.0000 0.5000
0.5000 0.5000 0.5000



3.
K2MgCr | the Alexandria database | PBE-GGA | optimized geometry; Fermi-level density of states = 2.86 states/eV/f.u.; total energy = -2.55 eV per atom; calculated volume = 35.842 Å³/atom
1.0
1.8097 1.0448 12.6376
-1.8097 1.0448 12.6376
0.0000 -2.0896 12.6376
K Mg Cr
2 1 1
Direct
0.2453 0.2453 0.2453
0.7547 0.7547 0.7547
0.0000 0.0000 0.0000
0.5000 0.5000 0.5000



4.
AlHIN2 | the Alexandria database | PBE-GGA | optimized geometry; Fermi-level density of states = 3.19 states/eV/f.u.; total energy = -3.01 eV per atom; relative energy among the computed polymorphs = 1004 meV per atom; calculated volume = 12.116 Å³/atom
1.0
4.2213 0.0000 0.0000
0.0000 4.2213 0.0000
0.0000 0.0000 3.3996
Al H I N
1 1 1 2
Direct
0.0000 0.0000 0.0000
0.5000 0.5000 0.5000
0.5000 0.5000 0.0000
0.0000 0.5000 0.5000
0.5000 0.0000 0.5000



5.
MnCrMoOs | the Alexandria database | PBE-GGA | optimized geometry; Fermi-level density of states = 3.81 states/eV/f.u.; total energy = -10.12 eV per atom; calculated volume = 13.574 Å³/atom
1.0
0.0000 3.0055 3.0055
3.0055 0.0000 3.0055
3.0055 3.0055 0.0000
Mn Cr Mo Os
1 1 1 1
Direct
0.0000 0.0000 0.0000
0.5000 0.5000 0.5000
0.7500 0.7500 0.7500
0.2500 0.2500 0.2500



6.
V3FeGe | the Alexandria database | PBE-GGA | optimized geometry; Fermi-level density of states = 5.18 states/eV/f.u.; total energy = -7.87 eV per atom; relative energy among the computed polymorphs = 0 meV per atom; calculated volume = 14.064 Å³/atom
1.0
-4.1990 3.2718 2.5592
4.1990 -3.2718 2.5592
4.1990 3.2718 -2.5592
V Fe Ge
6 2 2
Direct
0.2486 0.0077 0.2563
0.2486 0.4923 0.7408
0.6827 0.5036 0.6791
0.7514 0.5077 0.2592
0.7514 0.9923 0.7437
0.8245 0.0036 0.3209
0.2574 0.7566 0.0007
0.7559 0.2566 0.9993
0.2043 0.0036 0.7007
0.3030 0.5036 0.2993



7.
Na3Cd6Sb5 | the Alexandria database | PBE-GGA | optimized geometry; Fermi-level density of states = 3.77 states/eV/f.u.; total energy = -2.32 eV per atom; E_form (uncorrected) = -0.168 eV per atom; calculated volume = 28.336 Å³/atom
1.0
4.6373 0.0000 0.0000
0.0000 14.4119 0.0000
0.0000 0.0000 11.8717
Na Cd Sb
6 12 10
Direct
0.2500 0.0731 0.2412
0.2500 0.4269 0.2412
0.2500 0.7500 0.2599
0.7500 0.2500 0.7401
0.7500 0.5731 0.7588
0.7500 0.9269 0.7588
0.2500 0.0670 0.6135
0.2500 0.2500 0.0128
0.2500 0.2500 0.4174
0.2500 0.4330 0.6135
0.2500 0.5921 0.9906
0.2500 0.9079 0.9906
0.7500 0.0921 0.0094
0.7500 0.4079 0.0094
0.7500 0.5670 0.3865
0.7500 0.7500 0.5826
0.7500 0.7500 0.9872
0.7500 0.9330 0.3865
0.2500 0.0852 0.8552
0.2500 0.4148 0.8552
0.2500 0.6222 0.5253
0.2500 0.7500 0.8278
0.2500 0.8778 0.5253
0.7500 0.1222 0.4747
0.7500 0.2500 0.1722
0.7500 0.3778 0.4747
0.7500 0.5852 0.1448
0.7500 0.9148 0.1448



8.
LaZn2Te | the Alexandria database | PBE-GGA | optimized geometry; Fermi-level density of states = 1.91 states/eV/f.u.; total energy = -3.13 eV per atom; E_form (uncorrected) = -0.473 eV per atom; calculated volume = 26.549 Å³/atom
1.0
-2.1994 2.1994 5.4884
2.1994 -2.1994 5.4884
2.1994 2.1994 -5.4884
La Zn Te
1 2 1
Direct
0.0000 0.0000 0.0000
0.2500 0.7500 0.5000
0.7500 0.2500 0.5000
0.5000 0.5000 0.0000



9.
Ca2CrW | the Alexandria database | PBE-GGA | optimized geometry; Fermi-level density of states = 14.50 states/eV/f.u.; total energy = -4.99 eV per atom; relative energy among the computed polymorphs = 1166 meV per atom; calculated volume = 21.759 Å³/atom
1.0
0.0000 3.5174 3.5174
3.5174 0.0000 3.5174
3.5174 3.5174 0.0000
Ca Cr W
2 1 1
Direct
0.2500 0.2500 0.2500
0.7500 0.7500 0.7500
0.0000 0.0000 0.0000
0.5000 0.5000 0.5000



10.
NaNdSe2 | the Alexandria database | PBE-GGA | optimized geometry; Fermi-level density of states = 0.00 states/eV/f.u.; total energy = -4.93 eV per atom; E_form (uncorrected) = -1.666 eV per atom; relative energy among the computed polymorphs = 17 meV per atom; calculated volume = 27.566 Å³/atom
1.0
-2.9820 2.9820 6.2000
2.9820 -2.9820 6.2000
2.9820 2.9820 -6.2000
Na Nd Se
2 2 4
Direct
0.3750 0.6250 0.7500
0.6250 0.3750 0.2500
0.1250 0.8750 0.2500
0.8750 0.1250 0.7500
0.1136 0.3636 0.7500
0.3636 0.1136 0.2500
0.6364 0.8864 0.7500
0.8864 0.6364 0.2500



11.
TbSn2Bi | the Alexandria database | PBE-GGA | optimized geometry; Fermi-level density of states = 2.72 states/eV/f.u.; total energy = -4.51 eV per atom; relative energy among the computed polymorphs = 0 meV per atom; calculated volume = 27.845 Å³/atom
1.0
4.7516 0.0000 0.0000
0.0000 4.7516 0.0000
0.0000 0.0000 4.9331
Tb Sn Bi
1 2 1
Direct
0.0000 0.0000 0.0000
0.0000 0.5000 0.5000
0.5000 0.0000 0.5000
0.5000 0.5000 0.0000



12.
LaIrCl2 | the Alexandria database | PBE-GGA | optimized geometry; total energy = -5.36 eV per atom; E_form (uncorrected) = -0.986 eV per atom; relative energy among the computed polymorphs = 0 meV per atom; calculated volume = 25.790 Å³/atom
1.0
3.8856 0.0000 0.0000
0.0000 4.0735 0.0000
-1.9080 0.0000 6.5176
La Ir Cl
1 1 2
Direct
0.0000 0.0000 0.0000
0.4343 0.5000 0.8701
0.3105 0.0000 0.6211
0.6237 0.5000 0.2334